A geometry-optimized Co2AgHAu structure, computed with PBE.

Lattice parameters (Å, degrees): 3.8351 3.8351 4.1064 90.00 90.00 90.00
With the nearest neighbours (Å) after each atom.
Fractional coordinates of all 5 atoms:
Co (0.0000, 0.5000, 0.0000)  2 H 1.92
Co (0.5000, 0.0000, 0.0000)  2 H 1.92
Ag (0.0000, 0.0000, 0.5000)  2 H 2.05
H (0.0000, 0.0000, 0.0000)  4 Co 1.92, 2 Ag 2.05
Au (0.5000, 0.5000, 0.5000)  4 Ag 2.71, 8 Co 2.81

Values from the calculation:
Theoretical density in g cm⁻³: 11.65
E_tot in eV per atom: -4.419
Total magnetic moment in μB/f.u.: 3.11

=====

A geometry-optimized Rb2LaS structure, computed with PBE.

Lattice parameters (Å, degrees): 9.3009 9.3009 9.3009 95.03 95.03 145.56
With the nearest neighbours (Å) after each atom.
Fractional coordinates of all 8 atoms:
Rb (0.3750, 0.2387, 0.3637)  2 S 3.52
Rb (0.7613, 0.1250, 0.1363)  2 S 3.52
Rb (0.8750, 0.0113, 0.6363)  2 S 3.52
Rb (0.9887, 0.6250, 0.8637)  2 S 3.52
La (0.2500, 0.7500, 0.5000)  2 S 2.75
La (0.5000, 0.5000, 0.0000)  2 S 2.75
S (0.0000, 0.0000, 0.0000)  2 La 2.75
S (0.7500, 0.2500, 0.5000)  2 La 2.75

Values from the calculation:
Theoretical density in g cm⁻³: 2.61
Uncorrected formation energy in meV/atom: -484
Total magnetic moment in μB/f.u.: 0.72

=====

- theoretical density of number 1 (Co2AgHAu)?
  11.65 g cm⁻³